[1]
# Ac4PmSm (PBE, optimized geometry)
# size of the total moment: 0.00 μB per formula unit
# distance to the lowest polymorph of the same formula: 1.84 eV/f.u.
# energy of formation from the pure elements: 0.3428 eV per atom
data_Ac4PmSm
_chemical_formula_sum 'Ac4 Pm1 Sm1'
_symmetry_space_group_name_H-M 'P 1'
_symmetry_Int_Tables_number 1
_cell_length_a 7.168
_cell_length_b 7.168
_cell_length_c 7.168
_cell_angle_alpha 60.00
_cell_angle_beta 60.00
_cell_angle_gamma 60.00
loop_
_symmetry_equiv_pos_as_xyz
'x,y,z'
loop_
_atom_site_label
_atom_site_type_symbol
_atom_site_fract_x
_atom_site_fract_y
_atom_site_fract_z
Ac1 Ac 0.625 0.625 0.125
Ac2 Ac 0.625 0.125 0.625
Ac3 Ac 0.625 0.625 0.625
Ac4 Ac 0.125 0.625 0.625
Sm1 Sm 0.000 0.000 0.000
Pm1 Pm 0.250 0.250 0.250



[2]
# AlMo2W (PBE, optimized geometry)
# size of the total moment: 0.00 μB per formula unit
# energy of formation from the pure elements: 0.0729 eV per atom
data_AlMo2W
_chemical_formula_sum 'Al1 Mo2 W1'
_symmetry_space_group_name_H-M 'P 1'
_symmetry_Int_Tables_number 1
_cell_length_a 4.454
_cell_length_b 4.454
_cell_length_c 4.454
_cell_angle_alpha 60.00
_cell_angle_beta 60.00
_cell_angle_gamma 60.00
loop_
_symmetry_equiv_pos_as_xyz
'x,y,z'
loop_
_atom_site_label
_atom_site_type_symbol
_atom_site_fract_x
_atom_site_fract_y
_atom_site_fract_z
Mo1 Mo 0.000 0.000 0.000
Mo2 Mo 0.250 0.250 0.250
Al1 Al 0.500 0.500 0.500
W1 W 0.750 0.750 0.750



[3]
# TiReHg2Ge (PBE, optimized geometry)
# size of the total moment: 3.88 μB per formula unit
# energy of formation from the pure elements: 1.5552 eV per atom
data_TiReHg2Ge
_chemical_formula_sum 'Ti1 Re1 Hg2 Ge1'
_symmetry_space_group_name_H-M 'P 1'
_symmetry_Int_Tables_number 1
_cell_length_a 5.180
_cell_length_b 4.862
_cell_length_c 5.180
_cell_angle_alpha 90.00
_cell_angle_beta 90.00
_cell_angle_gamma 90.00
loop_
_symmetry_equiv_pos_as_xyz
'x,y,z'
loop_
_atom_site_label
_atom_site_type_symbol
_atom_site_fract_x
_atom_site_fract_y
_atom_site_fract_z
Re1 Re 0.500 0.500 0.500
Ge1 Ge 0.000 0.500 0.000
Hg1 Hg 0.000 0.000 0.500
Hg2 Hg 0.500 0.000 0.000
Ti1 Ti 0.000 0.000 0.000



[4]
# MgNbAu (PBE, optimized geometry)
# size of the total moment: 0.00 μB per formula unit
# energy of formation from the pure elements: -0.1010 eV per atom
data_MgNbAu
_chemical_formula_sum 'Mg2 Nb2 Au2'
_symmetry_space_group_name_H-M 'P 1'
_symmetry_Int_Tables_number 1
_cell_length_a 3.954
_cell_length_b 4.291
_cell_length_c 6.779
_cell_angle_alpha 90.00
_cell_angle_beta 73.12
_cell_angle_gamma 90.00
loop_
_symmetry_equiv_pos_as_xyz
'x,y,z'
loop_
_atom_site_label
_atom_site_type_symbol
_atom_site_fract_x
_atom_site_fract_y
_atom_site_fract_z
Mg1 Mg 0.775 0.543 0.826
Mg2 Mg 0.275 0.043 0.826
Au1 Au 0.935 0.043 0.506
Au2 Au 0.615 0.043 0.146
Nb1 Nb 0.097 0.543 0.181
Nb2 Nb 0.452 0.543 0.471



[5]
# CuHgF5 (PBE, optimized geometry)
# size of the total moment: 0.92 μB per formula unit
# formation energy without anion corrections: -1.3783 eV/atom
data_CuHgF5
_chemical_formula_sum 'Cu1 Hg1 F5'
_symmetry_space_group_name_H-M 'P 1'
_symmetry_Int_Tables_number 1
_cell_length_a 3.859
_cell_length_b 5.598
_cell_length_c 5.598
_cell_angle_alpha 73.19
_cell_angle_beta 69.84
_cell_angle_gamma 69.84
loop_
_symmetry_equiv_pos_as_xyz
'x,y,z'
loop_
_atom_site_label
_atom_site_type_symbol
_atom_site_fract_x
_atom_site_fract_y
_atom_site_fract_z
Cu1 Cu 0.000 0.000 0.000
Hg1 Hg 0.500 0.500 0.500
F1 F 0.766 0.234 0.234
F2 F 0.000 0.291 0.709
F3 F 0.500 0.000 0.000
F4 F 0.000 0.709 0.291
F5 F 0.234 0.766 0.766



[6]
# BaLiCoCl6 (PBE, optimized geometry)
# size of the total moment: 0.14 μB per formula unit
# formation energy without anion corrections: -1.4345 eV/atom
data_BaLiCoCl6
_chemical_formula_sum 'Ba1 Li1 Co1 Cl6'
_symmetry_space_group_name_H-M 'P 1'
_symmetry_Int_Tables_number 1
_cell_length_a 6.421
_cell_length_b 6.421
_cell_length_c 6.543
_cell_angle_alpha 90.00
_cell_angle_beta 90.00
_cell_angle_gamma 59.99
loop_
_symmetry_equiv_pos_as_xyz
'x,y,z'
loop_
_atom_site_label
_atom_site_type_symbol
_atom_site_fract_x
_atom_site_fract_y
_atom_site_fract_z
Ba1 Ba 0.000 0.000 0.000
Li1 Li 0.667 0.667 0.500
Co1 Co 0.333 0.333 0.500
Cl1 Cl 0.033 0.358 0.299
Cl2 Cl 0.358 0.033 0.701
Cl3 Cl 0.609 0.358 0.701
Cl4 Cl 0.033 0.609 0.701
Cl5 Cl 0.358 0.609 0.299
Cl6 Cl 0.609 0.033 0.299



[7]
# Cs3BaAs2O6 (PBE, optimized geometry)
# size of the total moment: 1.05 μB per formula unit
# formation energy without anion corrections: -1.7374 eV/atom
data_Cs3BaAs2O6
_chemical_formula_sum 'Cs3 Ba1 As2 O6'
_symmetry_space_group_name_H-M 'P 1'
_symmetry_Int_Tables_number 1
_cell_length_a 6.555
_cell_length_b 6.555
_cell_length_c 8.012
_cell_angle_alpha 90.00
_cell_angle_beta 90.00
_cell_angle_gamma 120.00
loop_
_symmetry_equiv_pos_as_xyz
'x,y,z'
loop_
_atom_site_label
_atom_site_type_symbol
_atom_site_fract_x
_atom_site_fract_y
_atom_site_fract_z
Cs1 Cs 0.333 0.667 0.674
Cs2 Cs 0.667 0.333 0.326
Cs3 Cs 0.000 0.000 0.000
Ba1 Ba 0.000 0.000 0.500
As1 As 0.667 0.333 0.784
As2 As 0.333 0.667 0.216
O1 O 0.621 0.810 0.302
O2 O 0.190 0.379 0.302
O3 O 0.190 0.810 0.302
O4 O 0.810 0.621 0.698
O5 O 0.379 0.190 0.698
O6 O 0.810 0.190 0.698



[8]
# SmHo2Mg9 (PBE, optimized geometry)
# size of the total moment: 0.00 μB per formula unit
# energy of formation from the pure elements: -0.0408 eV per atom
data_SmHo2Mg9
_chemical_formula_sum 'Sm1 Ho2 Mg9'
_symmetry_space_group_name_H-M 'P 1'
_symmetry_Int_Tables_number 1
_cell_length_a 6.038
_cell_length_b 6.038
_cell_length_c 10.330
_cell_angle_alpha 73.01
_cell_angle_beta 73.01
_cell_angle_gamma 60.00
loop_
_symmetry_equiv_pos_as_xyz
'x,y,z'
loop_
_atom_site_label
_atom_site_type_symbol
_atom_site_fract_x
_atom_site_fract_y
_atom_site_fract_z
Sm1 Sm 0.000 0.000 0.000
Ho1 Ho 0.856 0.856 0.431
Ho2 Ho 0.144 0.144 0.569
Mg1 Mg 0.666 0.666 0.002
Mg2 Mg 0.334 0.334 0.998
Mg3 Mg 0.500 0.500 0.500
Mg4 Mg 0.413 0.413 0.254
Mg5 Mg 0.921 0.413 0.254
Mg6 Mg 0.413 0.921 0.254
Mg7 Mg 0.587 0.587 0.746
Mg8 Mg 0.587 0.079 0.746
Mg9 Mg 0.079 0.587 0.746



[9]
# TmSi2Ni2 (PBE, optimized geometry)
# size of the total moment: 0.00 μB per formula unit
# formation energy without anion corrections: 0.1215 eV/atom
# distance to the lowest polymorph of the same formula: 4.87 eV/f.u.
data_TmSi2Ni2
_chemical_formula_sum 'Tm1 Si2 Ni2'
_symmetry_space_group_name_H-M 'P 1'
_symmetry_Int_Tables_number 1
_cell_length_a 3.414
_cell_length_b 3.414
_cell_length_c 9.195
_cell_angle_alpha 100.70
_cell_angle_beta 100.70
_cell_angle_gamma 90.00
loop_
_symmetry_equiv_pos_as_xyz
'x,y,z'
loop_
_atom_site_label
_atom_site_type_symbol
_atom_site_fract_x
_atom_site_fract_y
_atom_site_fract_z
Tm1 Tm 0.000 0.000 0.000
Si1 Si 0.837 0.837 0.674
Si2 Si 0.163 0.163 0.326
Ni1 Ni 0.750 0.250 0.500
Ni2 Ni 0.250 0.750 0.500



[10]
# Mg2GaSO (PBE, optimized geometry)
# size of the total moment: 0.00 μB per formula unit
# formation energy without anion corrections: 0.4168 eV/atom
data_Mg2GaSO
_chemical_formula_sum 'Mg2 Ga1 S1 O1'
_symmetry_space_group_name_H-M 'P 1'
_symmetry_Int_Tables_number 1
_cell_length_a 5.135
_cell_length_b 4.345
_cell_length_c 5.135
_cell_angle_alpha 90.00
_cell_angle_beta 90.00
_cell_angle_gamma 90.00
loop_
_symmetry_equiv_pos_as_xyz
'x,y,z'
loop_
_atom_site_label
_atom_site_type_symbol
_atom_site_fract_x
_atom_site_fract_y
_atom_site_fract_z
O1 O 0.500 0.500 0.500
S1 S 0.000 0.500 0.000
Mg1 Mg 0.000 0.000 0.500
Mg2 Mg 0.500 0.000 0.000
Ga1 Ga 0.000 0.000 0.000



[11]
# BaCaBeH6 (PBE, optimized geometry)
# size of the total moment: 0.00 μB per formula unit
# E: -3.334 eV/atom
data_BaCaBeH6
_chemical_formula_sum 'Ba1 Ca1 Be1 H6'
_symmetry_space_group_name_H-M 'P 1'
_symmetry_Int_Tables_number 1
_cell_length_a 5.207
_cell_length_b 5.207
_cell_length_c 5.336
_cell_angle_alpha 90.00
_cell_angle_beta 90.00
_cell_angle_gamma 59.99
loop_
_symmetry_equiv_pos_as_xyz
'x,y,z'
loop_
_atom_site_label
_atom_site_type_symbol
_atom_site_fract_x
_atom_site_fract_y
_atom_site_fract_z
Ba1 Ba 0.000 0.000 0.000
Ca1 Ca 0.667 0.667 0.500
Be1 Be 0.333 0.333 0.500
H1 H 0.070 0.354 0.308
H2 H 0.354 0.070 0.692
H3 H 0.576 0.354 0.692
H4 H 0.070 0.576 0.692
H5 H 0.354 0.576 0.308
H6 H 0.576 0.070 0.308



[12]
# SmTc4 (PBE, optimized geometry)
# size of the total moment: 1.86 μB per formula unit
# energy of formation from the pure elements: 2.6730 eV per atom
data_SmTc4
_chemical_formula_sum 'Sm1 Tc4'
_symmetry_space_group_name_H-M 'P 1'
_symmetry_Int_Tables_number 1
_cell_length_a 4.760
_cell_length_b 4.760
_cell_length_c 4.760
_cell_angle_alpha 90.00
_cell_angle_beta 90.00
_cell_angle_gamma 90.00
loop_
_symmetry_equiv_pos_as_xyz
'x,y,z'
loop_
_atom_site_label
_atom_site_type_symbol
_atom_site_fract_x
_atom_site_fract_y
_atom_site_fract_z
Tc1 Tc 0.000 0.000 0.000
Tc2 Tc 0.500 0.000 0.500
Tc3 Tc 0.000 0.500 0.500
Tc4 Tc 0.500 0.500 0.000
Sm1 Sm 0.500 0.500 0.500



[13]
# NaFeP2S8 (PBE, optimized geometry)
# size of the total moment: 3.01 μB per formula unit
# formation energy without anion corrections: -0.2094 eV/atom
data_NaFeP2S8
_chemical_formula_sum 'Na1 Fe1 P2 S8'
_symmetry_space_group_name_H-M 'P 1'
_symmetry_Int_Tables_number 1
_cell_length_a 5.744
_cell_length_b 5.744
_cell_length_c 9.096
_cell_angle_alpha 90.00
_cell_angle_beta 90.00
_cell_angle_gamma 120.00
loop_
_symmetry_equiv_pos_as_xyz
'x,y,z'
loop_
_atom_site_label
_atom_site_type_symbol
_atom_site_fract_x
_atom_site_fract_y
_atom_site_fract_z
Na1 Na 0.000 0.000 0.000
Fe1 Fe 0.000 0.000 0.500
P1 P 0.667 0.333 0.288
P2 P 0.333 0.667 0.712
S1 S 0.333 0.667 0.932
S2 S 0.311 0.326 0.350
S3 S 0.674 0.985 0.350
S4 S 0.667 0.333 0.068
S5 S 0.326 0.015 0.650
S6 S 0.689 0.674 0.650
S7 S 0.985 0.311 0.650
S8 S 0.015 0.689 0.350



[14]
# CoSN (PBE, optimized geometry)
# size of the total moment: 0.17 μB per formula unit
# formation energy without anion corrections: 0.3157 eV/atom
# distance to the lowest polymorph of the same formula: 1.43 eV/f.u.
data_CoSN
_chemical_formula_sum 'Co1 S1 N1'
_symmetry_space_group_name_H-M 'P 1'
_symmetry_Int_Tables_number 1
_cell_length_a 3.177
_cell_length_b 3.178
_cell_length_c 4.050
_cell_angle_alpha 90.00
_cell_angle_beta 90.00
_cell_angle_gamma 90.00
loop_
_symmetry_equiv_pos_as_xyz
'x,y,z'
loop_
_atom_site_label
_atom_site_type_symbol
_atom_site_fract_x
_atom_site_fract_y
_atom_site_fract_z
Co1 Co 0.000 0.500 0.143
S1 S 0.500 0.500 0.816
N1 N 0.500 0.500 0.431



[15]
# Zr2SbPd (PBE, optimized geometry)
# size of the total moment: 0.00 μB per formula unit
# formation energy without anion corrections: -0.3625 eV/atom
data_Zr2SbPd
_chemical_formula_sum 'Zr4 Sb2 Pd2'
_symmetry_space_group_name_H-M 'P 1'
_symmetry_Int_Tables_number 1
_cell_length_a 7.685
_cell_length_b 7.685
_cell_length_c 6.200
_cell_angle_alpha 51.70
_cell_angle_beta 51.70
_cell_angle_gamma 90.00
loop_
_symmetry_equiv_pos_as_xyz
'x,y,z'
loop_
_atom_site_label
_atom_site_type_symbol
_atom_site_fract_x
_atom_site_fract_y
_atom_site_fract_z
Sb1 Sb 0.000 0.000 0.000
Sb2 Sb 0.750 0.250 0.500
Zr1 Zr 0.602 0.125 0.250
Zr2 Zr 0.148 0.625 0.250
Zr3 Zr 0.375 0.398 0.750
Zr4 Zr 0.875 0.852 0.750
Pd1 Pd 0.500 0.500 0.000
Pd2 Pd 0.250 0.750 0.500



[16]
# FeHRu (PBE, optimized geometry)
# size of the total moment: 1.17 μB per formula unit
# distance to the lowest polymorph of the same formula: 0.31 eV/f.u.
data_FeHRu
_chemical_formula_sum 'Fe4 H4 Ru4'
_symmetry_space_group_name_H-M 'P 1'
_symmetry_Int_Tables_number 1
_cell_length_a 4.096
_cell_length_b 5.581
_cell_length_c 4.855
_cell_angle_alpha 90.00
_cell_angle_beta 90.00
_cell_angle_gamma 90.00
loop_
_symmetry_equiv_pos_as_xyz
'x,y,z'
loop_
_atom_site_label
_atom_site_type_symbol
_atom_site_fract_x
_atom_site_fract_y
_atom_site_fract_z
Ru1 Ru 0.250 0.854 0.607
Ru2 Ru 0.750 0.354 0.893
Ru3 Ru 0.750 0.146 0.393
Ru4 Ru 0.250 0.646 0.107
Fe1 Fe 0.750 0.602 0.438
Fe2 Fe 0.250 0.102 0.062
Fe3 Fe 0.750 0.898 0.938
Fe4 Fe 0.250 0.398 0.562
H1 H 0.250 0.127 0.408
H2 H 0.250 0.373 0.908
H3 H 0.750 0.873 0.592
H4 H 0.750 0.627 0.092



[17]
# NiAg2Ir2 (PBE, optimized geometry)
# size of the total moment: 2.40 μB per formula unit
# distance to the lowest polymorph of the same formula: 2.09 eV/f.u.
# energy of formation from the pure elements: 1.0061 eV per atom
data_NiAg2Ir2
_chemical_formula_sum 'Ni1 Ag2 Ir2'
_symmetry_space_group_name_H-M 'P 1'
_symmetry_Int_Tables_number 1
_cell_length_a 3.605
_cell_length_b 3.605
_cell_length_c 7.138
_cell_angle_alpha 75.37
_cell_angle_beta 75.37
_cell_angle_gamma 90.00
loop_
_symmetry_equiv_pos_as_xyz
'x,y,z'
loop_
_atom_site_label
_atom_site_type_symbol
_atom_site_fract_x
_atom_site_fract_y
_atom_site_fract_z
Ni1 Ni 0.000 0.000 0.000
Ir1 Ir 0.410 0.410 0.180
Ir2 Ir 0.590 0.590 0.820
Ag1 Ag 0.750 0.250 0.500
Ag2 Ag 0.250 0.750 0.500



[18]
# Dy3ZnAg (PBE, optimized geometry)
# size of the total moment: 0.00 μB per formula unit
# distance to the lowest polymorph of the same formula: 0.00 eV/f.u.
# energy of formation from the pure elements: -0.2430 eV per atom
data_Dy3ZnAg
_chemical_formula_sum 'Dy6 Zn2 Ag2'
_symmetry_space_group_name_H-M 'P 1'
_symmetry_Int_Tables_number 1
_cell_length_a 5.101
_cell_length_b 5.102
_cell_length_c 10.004
_cell_angle_alpha 90.00
_cell_angle_beta 75.23
_cell_angle_gamma 90.00
loop_
_symmetry_equiv_pos_as_xyz
'x,y,z'
loop_
_atom_site_label
_atom_site_type_symbol
_atom_site_fract_x
_atom_site_fract_y
_atom_site_fract_z
Dy1 Dy 0.760 0.250 0.128
Dy2 Dy 0.391 0.250 0.867
Dy3 Dy 0.575 0.250 0.498
Dy4 Dy 0.258 0.750 0.133
Dy5 Dy 0.888 0.750 0.872
Dy6 Dy 0.073 0.750 0.502
Zn1 Zn 0.669 0.750 0.311
Zn2 Zn 0.979 0.250 0.689
Ag1 Ag 0.484 0.750 0.681
Ag2 Ag 0.164 0.250 0.319



[19]
# ReSiW2 (PBE, optimized geometry)
# size of the total moment: 0.00 μB per formula unit
# formation energy without anion corrections: 0.1026 eV/atom
data_ReSiW2
_chemical_formula_sum 'Re1 Si1 W2'
_symmetry_space_group_name_H-M 'P 1'
_symmetry_Int_Tables_number 1
_cell_length_a 4.384
_cell_length_b 4.384
_cell_length_c 4.384
_cell_angle_alpha 60.00
_cell_angle_beta 60.00
_cell_angle_gamma 60.00
loop_
_symmetry_equiv_pos_as_xyz
'x,y,z'
loop_
_atom_site_label
_atom_site_type_symbol
_atom_site_fract_x
_atom_site_fract_y
_atom_site_fract_z
Re1 Re 0.500 0.500 0.500
Si1 Si 0.750 0.750 0.750
W1 W 0.000 0.000 0.000
W2 W 0.250 0.250 0.250



[20]
# CaReRh2 (PBE, optimized geometry)
# size of the total moment: 0.42 μB per formula unit
# distance to the lowest polymorph of the same formula: 1.32 eV/f.u.
# energy of formation from the pure elements: 0.2647 eV per atom
data_CaReRh2
_chemical_formula_sum 'Ca1 Re1 Rh2'
_symmetry_space_group_name_H-M 'P 1'
_symmetry_Int_Tables_number 1
_cell_length_a 4.727
_cell_length_b 4.727
_cell_length_c 4.727
_cell_angle_alpha 126.75
_cell_angle_beta 126.34
_cell_angle_gamma 79.00
loop_
_symmetry_equiv_pos_as_xyz
'x,y,z'
loop_
_atom_site_label
_atom_site_type_symbol
_atom_site_fract_x
_atom_site_fract_y
_atom_site_fract_z
Re1 Re 0.250 0.750 0.500
Ca1 Ca 0.750 0.250 0.500
Rh1 Rh 0.001 0.001 0.000
Rh2 Rh 0.499 0.499 0.000